Record 1
Computed, not measured: a relaxed structure of Pm2SiBr3 at the PBE level of DFT.

Summary:
- E_form (uncorrected): -130.6 kJ/mol of atoms
- Uncorrected energy: -4.677 eV/atom
- Space group: C2/m
- Crystal system: monoclinic
- M_tot: 0.00 μB per atom

a = 4.1689 Å, b = 9.8214 Å, c = 10.4210 Å
α = 79.12°, β = 78.46°, γ = 77.75°
Sites, in units of the cell vectors:
1 Pm 0.8723 0.4391 0.8162
2 Pm 0.1277 0.5609 0.1838
3 Pm 0.6133 0.2150 0.5584
4 Pm 0.3867 0.7850 0.4416
5 Si 0.4435 0.4985 0.6145
6 Si 0.5565 0.5015 0.3855
7 Br 0.0449 0.1406 0.7697
8 Br 0.9551 0.8594 0.2303
9 Br 0.6737 0.6752 0.9773
10 Br 0.3263 0.3248 0.0227
11 Br 0.7559 0.8701 0.6181
12 Br 0.2441 0.1299 0.3819

Record 2
Computed, not measured: a relaxed structure of Pm4Si3Br at the PBE level of DFT.

Summary:
- E_form (uncorrected): -78.3 kJ/mol of atoms
- Uncorrected energy: -5.430 eV/atom
- Space group: Pm-3m
- Crystal system: cubic
- M_tot: 0.00 μB per atom

a = 5.9717 Å, b = 5.9717 Å, c = 5.9717 Å
α = 90.00°, β = 90.00°, γ = 90.00°
Sites, in units of the cell vectors:
1 Pm 0.5000 0.0000 0.0000
2 Pm 0.0000 0.5000 0.0000
3 Pm 0.0000 0.0000 0.5000
4 Pm 0.5000 0.5000 0.5000
5 Si 0.0000 0.5000 0.5000
6 Si 0.5000 0.0000 0.5000
7 Si 0.5000 0.5000 0.0000
8 Br 0.0000 0.0000 0.0000

Record 3
Computed, not measured: a relaxed structure of Pm3SiBr3 at the PBE level of DFT.

Summary:
- Polymorph energy (0 for the lowest one): 0.104 eV/atom
- E_form (uncorrected): -127.9 kJ/mol of atoms
- Uncorrected energy: -4.854 eV/atom
- Space group: Pm-3m
- Crystal system: cubic
- M_tot: 0.00 μB per atom

a = 5.9317 Å, b = 5.9317 Å, c = 5.9317 Å
α = 90.00°, β = 90.00°, γ = 90.00°
Sites, in units of the cell vectors:
1 Pm 0.5000 0.0000 0.5000
2 Pm 0.5000 0.5000 0.0000
3 Pm 0.0000 0.5000 0.5000
4 Si 0.5000 0.5000 0.5000
5 Br 0.0000 0.5000 0.0000
6 Br 0.0000 0.0000 0.5000
7 Br 0.5000 0.0000 0.0000